1.
A plane-wave DFT calculation with PBE was carried out for SiP3S after structural relaxation.

a = 4.4790 Å, b = 4.4790 Å, c = 4.4790 Å
α = 90.00°, β = 90.00°, γ = 90.00°
With the nearest neighbours (Å) after each atom.
Atoms (fractional coordinates):
Si  0.0000  0.0000  0.0000  6 P 2.24
P  0.0000  0.0000  0.5000  2 Si 2.24
P  0.0000  0.5000  0.0000  2 Si 2.24
P  0.5000  0.0000  0.0000  2 Si 2.24
S  0.5000  0.5000  0.5000  12 P 3.17

Uncorrected formation energy (eV per atom): 0.997
Energy above the lowest structure with this stoichiometry (eV per formula unit): 0.000
Space group: Pm-3m

=====

2.
A plane-wave DFT calculation with PBE was carried out for TbHf2Re9 after structural relaxation.

a = 9.2635 Å, b = 9.2635 Å, c = 9.2635 Å
α = 33.11°, β = 33.11°, γ = 33.11°
With the nearest neighbours (Å) after each atom.
Atoms (fractional coordinates):
Tb  0.0000  0.0000  0.0000  6 Re 3.05
Hf  0.1433  0.1433  0.1433  12 Re 3.04-3.11, 3 Hf 3.29
Hf  0.8567  0.8567  0.8567  12 Re 3.04-3.11, 3 Hf 3.29
Re  0.0772  0.5903  0.5903  7 Re 2.57-2.75
Re  0.3359  0.3359  0.3359  6 Re 2.69-2.75
Re  0.4097  0.4097  0.9228  7 Re 2.57-2.75
Re  0.4097  0.9228  0.4097  7 Re 2.57-2.75
Re  0.5000  0.5000  0.5000  6 Re 2.63
Re  0.5903  0.0772  0.5903  7 Re 2.57-2.75
Re  0.5903  0.5903  0.0772  7 Re 2.57-2.75
Re  0.6641  0.6641  0.6641  6 Re 2.69-2.75
Re  0.9228  0.4097  0.4097  7 Re 2.57-2.75

ΔE_f (eV/atom): -0.167
Space group: R-3m

=====

3.
A plane-wave DFT calculation with PBE was carried out for PmGdO after structural relaxation.

a = 3.6172 Å, b = 3.6172 Å, c = 5.9280 Å
α = 90.00°, β = 90.00°, γ = 120.00°
With the nearest neighbours (Å) after each atom.
Atoms (fractional coordinates):
Pm  0.0000  0.0000  0.0000  3 O 2.56
Gd  0.3333  0.6667  0.4622  3 O 2.43
O  0.6667  0.3333  0.2512  3 Gd 2.43, 3 Pm 2.56

Uncorrected formation energy (eV per atom): -1.754
Space group: P3m1

=====

4.
A plane-wave DFT calculation with PBE was carried out for PrSn3 after structural relaxation.

a = 4.7382 Å, b = 4.8133 Å, c = 4.8309 Å
α = 90.00°, β = 90.00°, γ = 90.00°
With the nearest neighbours (Å) after each atom.
Atoms (fractional coordinates):
Pr  0.0000  0.0000  0.0000  12 Sn 3.38-3.41
Sn  0.0000  0.5000  0.5000  8 Sn 3.38, 4 Pr 3.41
Sn  0.5000  0.0000  0.5000  8 Sn 3.38-3.41, 4 Pr 3.38
Sn  0.5000  0.5000  0.0000  4 Pr 3.38, 8 Sn 3.38-3.41

ΔE_f (eV/atom): -0.504
Space group: Pmmm

=====

5.
A plane-wave DFT calculation with PBE was carried out for Mg3CuGe after structural relaxation.

a = 4.8300 Å, b = 4.8300 Å, c = 4.8300 Å
α = 90.00°, β = 90.00°, γ = 90.00°
With the nearest neighbours (Å) after each atom.
Atoms (fractional coordinates):
Mg  0.0000  0.0000  0.5000  2 Cu 2.42
Mg  0.0000  0.5000  0.0000  2 Cu 2.42
Mg  0.5000  0.0000  0.0000  2 Cu 2.42
Cu  0.0000  0.0000  0.0000  6 Mg 2.42
Ge  0.5000  0.5000  0.5000  12 Mg 3.42

Energy above the lowest structure with this stoichiometry (eV per formula unit): 0.000
ΔE_f (eV/atom): 0.230
Space group: Pm-3m

=====

6.
A plane-wave DFT calculation with PBE was carried out for AgMoP after structural relaxation.

a = 3.0897 Å, b = 3.0897 Å, c = 10.1453 Å
α = 90.00°, β = 90.00°, γ = 90.00°
With the nearest neighbours (Å) after each atom.
Atoms (fractional coordinates):
Ag  0.0000  0.0000  0.0000  5 P 2.91-3.15, 5 Mo 3.00-3.02, 4 Ag 3.09
Ag  0.5000  0.5000  0.5000  5 P 2.91-3.15, 5 Mo 3.00-3.02, 4 Ag 3.09
Mo  0.0000  0.0000  0.2977  4 P 2.44
Mo  0.5000  0.5000  0.7977  4 P 2.44
P  0.0000  0.0000  0.6896  4 Mo 2.44
P  0.5000  0.5000  0.1896  4 Mo 2.44

Energy above the lowest structure with this stoichiometry (eV per formula unit): 0.000
ΔE_f (eV/atom): 0.109
Space group: I4mm

=====

7.
A plane-wave DFT calculation with PBE was carried out for CsZnF3 after structural relaxation.

a = 7.6899 Å, b = 5.7963 Å, c = 10.7250 Å
α = 90.00°, β = 123.73°, γ = 90.00°
With the nearest neighbours (Å) after each atom.
Atoms (fractional coordinates):
Cs  0.1331  0.2473  0.1529  6 F 2.98-3.21
Cs  0.1331  0.2527  0.6528  6 F 2.98-3.21
Cs  0.8669  0.7473  0.3472  6 F 2.98-3.21
Cs  0.8669  0.7527  0.8472  6 F 2.98-3.21
Zn  0.4228  0.7489  0.4339  5 F 1.92-2.11
Zn  0.4228  0.7511  0.9339  5 F 1.92-2.11
Zn  0.5772  0.2489  0.0661  5 F 1.92-2.11
Zn  0.5772  0.2511  0.5661  5 F 1.92-2.11
F  0.1661  0.7413  0.2387  1 Zn 1.92
F  0.1661  0.7587  0.7387  1 Zn 1.92
F  0.3327  0.0454  0.4985  2 Zn 1.99-2.11
F  0.3327  0.4546  0.9985  2 Zn 1.99-2.11
F  0.4280  0.5375  0.5845  2 Zn 2.01-2.09
F  0.4280  0.9625  0.0845  2 Zn 2.01-2.09
F  0.5720  0.0375  0.9155  2 Zn 2.01-2.09
F  0.5720  0.4625  0.4155  2 Zn 2.01-2.09
F  0.6673  0.5454  0.0015  2 Zn 1.99-2.11
F  0.6673  0.9546  0.5015  2 Zn 1.99-2.11
F  0.8339  0.2413  0.2613  1 Zn 1.92
F  0.8339  0.2587  0.7613  1 Zn 1.92

Uncorrected formation energy (eV per atom): -2.503
Space group: P2_1/c

=====

8.
A plane-wave DFT calculation with PBE was carried out for TbPr5Tl6 after structural relaxation.

a = 8.7881 Å, b = 8.7881 Å, c = 7.7652 Å
α = 90.00°, β = 90.00°, γ = 143.16°
With the nearest neighbours (Å) after each atom.
Atoms (fractional coordinates):
Tb  0.0000  0.0000  0.0000  8 Tl 3.33-3.37
Pr  0.0000  0.0000  0.5000  8 Tl 3.37-3.41
Pr  0.3306  0.6694  0.5000  8 Tl 3.41-3.45
Pr  0.3336  0.6664  0.0000  8 Tl 3.37-3.42
Pr  0.6664  0.3336  0.0000  8 Tl 3.37-3.42
Pr  0.6694  0.3306  0.5000  8 Tl 3.41-3.45
Tl  0.1635  0.8365  0.2451  1 Tb 3.33, 7 Pr 3.37-3.42
Tl  0.1635  0.8365  0.7549  1 Tb 3.33, 7 Pr 3.37-3.42
Tl  0.5000  0.5000  0.2461  6 Pr 3.37-3.45, 2 Tb 3.37
Tl  0.5000  0.5000  0.7539  6 Pr 3.37-3.45, 2 Tb 3.37
Tl  0.8365  0.1635  0.2451  1 Tb 3.33, 7 Pr 3.37-3.42
Tl  0.8365  0.1635  0.7549  1 Tb 3.33, 7 Pr 3.37-3.42

ΔE_f (eV/atom): -0.387
Space group: Cmmm

=====

9.
A plane-wave DFT calculation with PBE was carried out for CdInOF2 after structural relaxation.

a = 4.3607 Å, b = 4.3607 Å, c = 4.1575 Å
α = 90.00°, β = 90.00°, γ = 90.00°
With the nearest neighbours (Å) after each atom.
Atoms (fractional coordinates):
Cd  0.0000  0.0000  0.0000  8 F 3.01, 4 O 3.08
In  0.5000  0.5000  0.5000  2 O 2.08, 4 F 2.18
O  0.5000  0.5000  0.0000  2 In 2.08
F  0.0000  0.5000  0.5000  2 In 2.18
F  0.5000  0.0000  0.5000  2 In 2.18

Uncorrected formation energy (eV per atom): -1.525
Energy above the lowest structure with this stoichiometry (eV per formula unit): 0.000
Space group: P4/mmm

=====

10.
A plane-wave DFT calculation with PBE was carried out for TbPrHo2Er5 after structural relaxation.

a = 10.2499 Å, b = 10.2499 Å, c = 10.5100 Å
α = 90.00°, β = 90.00°, γ = 148.41°
With the nearest neighbours (Å) after each atom.
Atoms (fractional coordinates):
Tb  0.2003  0.7997  0.5000  2 Ho 3.41-3.66, 8 Er 3.48-3.72, 2 Pr 3.68
Tb  0.7997  0.2003  0.0000  2 Ho 3.41-3.66, 8 Er 3.48-3.72, 2 Pr 3.68
Pr  0.4169  0.5831  0.9386  5 Er 3.05-3.23
Pr  0.5831  0.4169  0.4386  5 Er 3.05-3.23
Ho  0.1111  0.8889  0.2218  7 Er 3.35-3.71, 1 Tb 3.41, 2 Pr 3.64
Ho  0.1132  0.8868  0.8071  9 Er 3.31-3.62, 1 Tb 3.66
Ho  0.8868  0.1132  0.3071  9 Er 3.31-3.62, 1 Tb 3.66
Ho  0.8889  0.1111  0.7218  7 Er 3.35-3.71, 1 Tb 3.41, 2 Pr 3.64
Er  0.0176  0.9824  0.5133  2 Pr 3.17, 2 Ho 3.35-3.37
Er  0.2810  0.7190  0.7999  1 Pr 3.05, 1 Ho 3.31, 2 Er 3.38
Er  0.2985  0.7015  0.1978  4 Er 3.38-3.73, 3 Tb 3.48-3.72, 3 Ho 3.48-3.71, 1 Pr 3.59
Er  0.3879  0.6121  0.5102  6 Er 3.47-3.79, 4 Ho 3.51-3.57, 1 Tb 3.70
Er  0.4782  0.5218  0.2237  2 Pr 3.06-3.23
Er  0.5218  0.4782  0.7237  2 Pr 3.06-3.23
Er  0.6121  0.3879  0.0102  6 Er 3.47-3.79, 4 Ho 3.51-3.57, 1 Tb 3.70
Er  0.7015  0.2985  0.6978  4 Er 3.38-3.73, 3 Tb 3.48-3.72, 3 Ho 3.48-3.71, 1 Pr 3.59
Er  0.7190  0.2810  0.2999  1 Pr 3.05, 1 Ho 3.31, 2 Er 3.38
Er  0.9824  0.0176  0.0133  2 Pr 3.17, 2 Ho 3.35-3.37

ΔE_f (eV/atom): 0.164
Space group: Cmc2_1

=====

11.
A plane-wave DFT calculation with PBE was carried out for Nd8PtS3I4 after structural relaxation.

a = 9.1436 Å, b = 9.1436 Å, c = 9.1436 Å
α = 54.64°, β = 54.64°, γ = 54.64°
With the nearest neighbours (Å) after each atom.
Atoms (fractional coordinates):
Nd  0.2267  0.7322  0.7322  2 S 2.83, 1 Pt 2.86
Nd  0.2283  0.2283  0.2283  3 S 2.82
Nd  0.2678  0.2678  0.7733  2 S 2.83, 1 Pt 2.86
Nd  0.2678  0.7733  0.2678  2 S 2.83, 1 Pt 2.86
Nd  0.7322  0.2267  0.7322  2 S 2.83, 1 Pt 2.86
Nd  0.7322  0.7322  0.2267  2 S 2.83, 1 Pt 2.86
Nd  0.7717  0.7717  0.7717  3 S 2.82
Nd  0.7733  0.2678  0.2678  2 S 2.83, 1 Pt 2.86
Pt  0.5000  0.5000  0.5000  6 Nd 2.86
S  0.0000  0.0000  0.5000  6 Nd 2.82-2.83
S  0.0000  0.5000  0.0000  6 Nd 2.82-2.83
S  0.5000  0.0000  0.0000  6 Nd 2.82-2.83
I  0.0000  0.0000  0.0000  6 Nd 3.39
I  0.0000  0.5000  0.5000  6 Nd 3.42-3.44
I  0.5000  0.0000  0.5000  6 Nd 3.42-3.44
I  0.5000  0.5000  0.0000  6 Nd 3.42-3.44

Uncorrected formation energy (eV per atom): -1.356
Space group: R-3m

=====

12.
A plane-wave DFT calculation with PBE was carried out for ErZrOs2 after structural relaxation.

a = 3.3172 Å, b = 3.3172 Å, c = 6.7216 Å
α = 90.00°, β = 90.00°, γ = 90.00°
With the nearest neighbours (Å) after each atom.
Atoms (fractional coordinates):
Er  0.0000  0.0000  0.0000  8 Os 2.94
Zr  0.0000  0.0000  0.5000  8 Os 2.83
Os  0.5000  0.5000  0.2645  4 Zr 2.83, 4 Er 2.94, 1 Os 3.17
Os  0.5000  0.5000  0.7355  4 Zr 2.83, 4 Er 2.94, 1 Os 3.17

ΔE_f (eV/atom): -0.355
Space group: P4/mmm

=====

Looking at total DFT energy (no corrections) for the records above, in order, we have -20.80 -138.57 -29.05 -18.81 -12.35 -18.77 -20.26 -47.36 -19.98 -39.90 -84.46 -36.99 eV/f.u..